# 1
! PBEsol KNiAs2, relaxed; values from VASP
! **Symmetry**: No. 99
! **Magnetic moment**: 0.000 μB per atom
! **Energy of formation**: 0.052 eV per atom
! **Fermi-level density of states**: 2.892 states/eV per cell
! **Offset from the most stable computed form**: 375 meV per atom
&SYSTEM
  ibrav = 0, nat = 4, ntyp = 3
/
ATOMIC_SPECIES
As 74.92 As.upf
Ni 58.69 Ni.upf
K 39.10 K.upf
ATOMIC_POSITIONS crystal
As 0.000 0.000 0.941
As 0.500 0.500 0.186
Ni 0.500 0.500 0.872
K 0.000 0.000 0.501
CELL_PARAMETERS angstrom
-0.760 -2.434 -2.124
3.213 -0.341 -0.758
0.756 -4.989 5.447

=====

# 2
! PBEsol Be2AgW, relaxed; values from VASP
! **Symmetry**: No. 225
! **Magnetic moment**: 0.000 μB per atom
! **Energy of formation**: 0.477 eV per atom
! **Fermi-level density of states**: 3.131 states/eV per cell
! **Offset from the most stable computed form**: 0 meV per atom
&SYSTEM
  ibrav = 0, nat = 4, ntyp = 3
/
ATOMIC_SPECIES
Be 9.01 Be.upf
Ag 107.87 Ag.upf
W 183.84 W.upf
ATOMIC_POSITIONS crystal
Be 0.250 0.250 0.250
Be 0.750 0.750 0.750
Ag 0.000 0.000 0.000
W 0.500 0.500 0.500
CELL_PARAMETERS angstrom
-3.044 1.959 -1.876
-2.512 -2.038 -2.482
-3.860 -0.683 1.120

=====

# 3
! PBEsol Zr3AsN, relaxed; values from VASP
! **Symmetry**: No. 221
! **Magnetic moment**: 0.003 μB per atom
! **Fermi-level density of states**: 7.210 states/eV per cell
! **Formation energy without anion corrections**: -0.928 eV per atom
&SYSTEM
  ibrav = 0, nat = 5, ntyp = 3
/
ATOMIC_SPECIES
Zr 91.22 Zr.upf
As 74.92 As.upf
N 14.01 N.upf
ATOMIC_POSITIONS crystal
Zr 0.500 0.000 0.000
Zr 0.000 0.500 0.000
Zr 0.000 0.000 0.500
As 0.500 0.500 0.500
N 0.000 0.000 0.000
CELL_PARAMETERS angstrom
4.388 0.000 0.000
0.000 4.388 0.000
0.000 0.000 4.388

=====

# 4
! PBEsol YPb2Se, relaxed; values from VASP
! **Symmetry**: No. 44
! **Magnetic moment**: 0.000 μB per atom
! **Fermi-level density of states**: 1.710 states/eV per cell
! **Formation energy without anion corrections**: -0.575 eV per atom
&SYSTEM
  ibrav = 0, nat = 4, ntyp = 3
/
ATOMIC_SPECIES
Y 88.91 Y.upf
Pb 207.20 Pb.upf
Se 78.96 Se.upf
ATOMIC_POSITIONS crystal
Y 0.782 0.282 0.564
Pb 0.236 0.736 0.471
Pb 0.006 0.006 0.013
Se 0.476 0.476 0.952
CELL_PARAMETERS angstrom
-0.566 3.274 1.397
-4.303 -1.826 2.536
5.558 -2.038 2.378